## Na3LiU2S6 (PBE)

Data for Na3LiU2S6 after structural relaxation.

Formation energy without anion corrections = -1.38 eV per atom
Crystal system = monoclinic

Unit cell a=6.8666 b=11.8874 c=7.0042 alpha=90.00 beta=109.04 gamma=90.00
With the nearest neighbours (Å) after each atom.
Space group C2/m (No. 12)
Inequivalent atoms, fractional coordinates:
Na  0.0000  0.0000  0.0000 (multiplicity 2)  6 S 2.87-2.96
Na  0.0000  0.3379  0.0000 (multiplicity 4)  6 S 2.91-2.96
Li  0.0000  0.5000  0.5000 (multiplicity 2)  6 S 2.78-2.79
U  0.0000  0.1670  0.5000 (multiplicity 4)  6 S 2.70
S  0.2317  0.0000  0.7245 (multiplicity 4)  2 U 2.70, 1 Li 2.78, 3 Na 2.87-2.92
S  0.2465  0.3283  0.7240 (multiplicity 8)  2 U 2.70, 1 Li 2.79, 3 Na 2.91-2.96

---

## Na2LiUS4 (PBE)

Data for Na2LiUS4 after structural relaxation.

Formation energy without anion corrections = -1.31 eV per atom
Crystal system = monoclinic

Unit cell a=6.5850 b=3.9869 c=6.9228 alpha=90.00 beta=107.86 gamma=90.00
With the nearest neighbours (Å) after each atom.
Space group P2/m (No. 10)
Inequivalent atoms, fractional coordinates:
Na  0.0000  0.0000  0.0000 (multiplicity 1)  6 S 2.94-2.95
Na  0.5000  0.5000  0.0000 (multiplicity 1)  6 S 2.84-2.90
Li  0.0000  0.5000  0.5000 (multiplicity 1)  6 S 2.63-2.75
U  0.5000  0.0000  0.5000 (multiplicity 1)  6 S 2.53-2.69
S  0.2567  0.0000  0.7200 (multiplicity 2)  1 U 2.53, 2 Li 2.75
S  0.2638  0.5000  0.2807 (multiplicity 2)  1 Li 2.63, 2 U 2.69, 3 Na 2.84-2.95

---

## Na3LiU3S8 (PBE)

Data for Na3LiU3S8 after structural relaxation.

Formation energy without anion corrections = -1.34 eV per atom
Crystal system = trigonal

Unit cell a=7.8704 b=7.8704 c=20.0392 alpha=90.00 beta=90.00 gamma=120.00
With the nearest neighbours (Å) after each atom.
Space group R-3m (No. 166, hexagonal axes)
Inequivalent atoms, fractional coordinates:
Na  0.0000  0.5000  0.0000 (multiplicity 9)  6 S 2.89-2.98
Li  0.0000  0.0000  0.5000 (multiplicity 3)  6 S 2.73
U  0.0000  0.5000  0.5000 (multiplicity 9)  6 S 2.67-2.75
S  0.0000  0.0000  0.2440 (multiplicity 6)  3 U 2.75, 3 Na 2.89
S  0.0073  0.5036  0.7613 (multiplicity 18)  2 U 2.67, 1 Li 2.73, 2 Na 2.98

---

## NaLi3U2S6 (PBE)

Data for NaLi3U2S6 after structural relaxation.

Formation energy without anion corrections = -1.35 eV per atom
Crystal system = monoclinic

Unit cell a=16.4331 b=3.9164 c=7.7900 alpha=90.00 beta=101.88 gamma=90.00
With the nearest neighbours (Å) after each atom.
Space group C2/m (No. 12)
Inequivalent atoms, fractional coordinates:
Na  0.0000  0.0000  0.0000 (multiplicity 2)  6 S 2.82-2.85
Li  0.0000  0.0000  0.5000 (multiplicity 2)  6 S 2.67-2.71
Li  0.1599  0.5000  0.8331 (multiplicity 4)  6 S 2.62-2.83
U  0.1613  0.5000  0.3258 (multiplicity 4)  6 S 2.55-2.74
S  0.0025  0.5000  0.2675 (multiplicity 4)  1 U 2.55, 3 Li 2.62-2.67, 2 Na 2.85
S  0.1688  0.0000  0.5751 (multiplicity 4)  3 Li 2.71-2.83, 3 U 2.74
S  0.1749  0.0000  0.0954 (multiplicity 4)  3 Li 2.66-2.80, 2 U 2.70, 1 Na 2.82

---

## Na2Li3US6 (PBE)

Data for Na2Li3US6 after structural relaxation.

Formation energy without anion corrections = -1.14 eV per atom
Crystal system = monoclinic

Unit cell a=6.8023 b=11.9396 c=6.3972 alpha=90.00 beta=110.51 gamma=90.00
With the nearest neighbours (Å) after each atom.
Space group C2/m (No. 12)
Inequivalent atoms, fractional coordinates:
Na  0.0000  0.1705  0.0000 (multiplicity 4)  6 S 2.82-2.87
Li  0.0000  0.0000  0.5000 (multiplicity 2)  6 S 2.62-2.88
Li  0.0000  0.3483  0.5000 (multiplicity 4)  4 S 2.56-2.58
U  0.0000  0.5000  0.0000 (multiplicity 2)  6 S 2.54-2.57
S  0.2285  0.5000  0.7590 (multiplicity 4)  1 U 2.54, 2 Li 2.58, 2 Na 2.82
S  0.2333  0.3508  0.2606 (multiplicity 8)  2 Li 2.56-2.62, 1 U 2.57, 1 Na 2.84

---

## Na2Li3WS6 (PBE)

Data for Na2Li3WS6 after structural relaxation.

Formation energy without anion corrections = -0.82 eV per atom
Crystal system = monoclinic

Unit cell a=7.0275 b=11.7447 c=6.0507 alpha=90.00 beta=116.32 gamma=90.00
With the nearest neighbours (Å) after each atom.
Space group C2/m (No. 12)
Inequivalent atoms, fractional coordinates:
Na  0.0000  0.1670  0.0000 (multiplicity 4)  4 S 2.78
Li  0.0000  0.0000  0.5000 (multiplicity 2)  4 S 2.47
Li  0.0000  0.3000  0.5000 (multiplicity 4)  4 S 2.54-2.60
W  0.0000  0.5000  0.0000 (multiplicity 2)  6 S 2.41-2.44
S  0.1343  0.5000  0.6902 (multiplicity 4)  1 S 2.24, 1 W 2.44
S  0.2455  0.3545  0.2418 (multiplicity 8)  1 W 2.41, 2 Li 2.47-2.54